Here is crystalline Cs4KCr3F12 at its relaxed geometry from Alexandria via LeMat-Bulk. Energies are from GGA+U.

It has space group Im-3m (No. 229), with a = 8.927 Å, b = 8.927 Å, c = 8.927 Å, α = 90.00°, β = 90.00° and γ = 90.00°. Symmetry generates all atoms from Cs at (0.250, 0.250, 0.250), K at (0.000, 0.000, 0.000), Cr at (0.000, 0.000, 0.500), F at (0.000, 0.000, 0.282) and F at (0.000, 0.250, 0.500).

The size of the total moment is 22.00 μB/cell. The value obtained for the density of states at the Fermi level is 0.11 states/eV/atom. For the raw total energy, the calculation gives -208.49 eV for the cell shown. The crystal system is cubic.